(1)
Computed, not measured: Cs2TlI after structural relaxation at the GGA-PBE level of DFT.

Cell: 4.8331 4.8331 38.5288 Å, 90.00 90.00 120.00°
Space group R-3m (No. 166, hexagonal axes)
Symmetry-distinct sites (fractional):
Cs (0.0000, 0.0000, 0.0999) x6
Tl (0.0000, 0.0000, 0.0000) x3
I (0.0000, 0.0000, 0.5000) x3

Values from the calculation:
Crystal system: trigonal
Distance to the lowest polymorph of the same formula in meV/atom: 152
N(E_F) in states/eV per atom: 0.797
Electronic total energy in eV per atom: -1.91



(2)
Computed, not measured: PmHoI after structural relaxation at the GGA-PBE level of DFT.

Cell: 5.4345 5.4345 3.8347 Å, 90.00 90.00 120.00°
Space group P3m1 (No. 156)
Symmetry-distinct sites (fractional):
Pm (0.0000, 0.0000, 0.0000) x1
Ho (0.3333, 0.6667, 0.4806) x1
I (0.6667, 0.3333, 0.3386) x1

Values from the calculation:
Crystal system: trigonal
Distance to the lowest polymorph of the same formula in meV/atom: 254
N(E_F) in states/eV per atom: 0.602
Electronic total energy in eV per atom: -3.80



(3)
Computed, not measured: AlGePdBr2 after structural relaxation at the GGA-PBE level of DFT.

Cell: 5.249 5.249 5.086 Å, 90.00 90.00 90.00°
Space group P4/mmm (No. 123)
Symmetry-distinct sites (fractional):
Al (0.000, 0.000, 0.000) x1
Ge (0.000, 0.000, 0.500) x1
Pd (0.500, 0.500, 0.000) x1
Br (0.000, 0.500, 0.500) x2

Values from the calculation:
Crystal system: tetragonal
N(E_F) in states/eV per atom: 0.242
Electronic total energy in eV per atom: -2.95



(4)
Computed, not measured: BaAcEuEr after structural relaxation at the GGA-PBE level of DFT.

Cell: 8.832 8.832 8.832 Å, 90.00 90.00 90.00°
Space group F-43m (No. 216)
Symmetry-distinct sites (fractional):
Ba (0.000, 0.000, 0.000) x4
Ac (0.250, 0.250, 0.250) x4
Eu (0.250, 0.250, 0.750) x4
Er (0.000, 0.000, 0.500) x4

Values from the calculation:
Crystal system: cubic
N(E_F) in states/eV per atom: 1.144
Electronic total energy in eV per atom: -5.01
Energy of formation in eV/atom: 0.20



(5)
Computed, not measured: SrSb3Pb3 after structural relaxation at the GGA-PBE level of DFT.

Cell: 8.566 8.566 8.566 Å, 90.00 90.00 90.00°
Space group Pm-3n (No. 223)
Symmetry-distinct sites (fractional):
Sr (0.000, 0.000, 0.000) x2
Sb (0.000, 0.250, 0.500) x6
Pb (0.000, 0.500, 0.250) x6

Values from the calculation:
Crystal system: cubic
Distance to the lowest polymorph of the same formula in meV/atom: 355
N(E_F) in states/eV per atom: 0.682
Electronic total energy in eV per atom: -3.46



(6)
Computed, not measured: Sr2AcTmSe4 after structural relaxation at the GGA-PBE level of DFT.

Cell: 7.506 4.311 7.572 Å, 90.00 109.04 90.00°
Space group P2/m (No. 10)
Symmetry-distinct sites (fractional):
Sr (0.000, 0.000, 0.000) x1
Sr (0.500, 0.500, 0.000) x1
Ac (0.000, 0.500, 0.500) x1
Tm (0.500, 0.000, 0.500) x1
Se (0.266, 0.000, 0.744) x2
Se (0.272, 0.500, 0.268) x2

Values from the calculation:
Crystal system: monoclinic
N(E_F) in states/eV per atom: 0.467
Electronic total energy in eV per atom: -5.09



Question: Which value of electronic total energy does entry 1 give?
Answer: -1.91 eV per atom



Question: Among the records above, which one has the lowest electronic total energy?
Answer: Sr2AcTmSe4



Question: Which of these has the lowest electronic total energy?
Answer: Sr2AcTmSe4